No. 1
Below is Te2IrBr after structural relaxation, with properties calculated at the GGA-PBE level.

Properties
E above lowest polymorph = 1087 meV per atom
Total DFT energy (no corrections) = -0.124 hartree per atom
Uncorrected formation energy = 0.823 eV per atom

Lattice parameters (Å, degrees): 5.464 5.464 3.271 90.00 90.00 112.95
Element x y z (fractional)
Ir1 0.000 0.500 0.500
Te1 0.500 0.500 0.000
Br1 0.500 0.000 0.500
Te2 0.000 0.000 0.000

---

No. 2
Below is CaFeIr2 after structural relaxation, with properties calculated at the GGA-PBE level.

Properties
E above lowest polymorph = 163 meV per atom
Total DFT energy (no corrections) = -0.253 hartree per atom
Energy of formation from the pure elements = 158 meV per atom

Lattice parameters (Å, degrees): 4.395 2.828 5.541 75.34 90.00 90.00
Element x y z (fractional)
Ir1 0.000 0.810 0.006
Fe1 0.500 0.918 0.787
Ca1 0.000 0.553 0.518
Ir2 0.500 0.219 0.189

---

No. 3
Below is CsSiPb3 after structural relaxation, with properties calculated at the GGA-PBE level.

Properties
E above lowest polymorph = 0 meV per atom
Total DFT energy (no corrections) = -0.118 hartree per atom
Uncorrected formation energy = 0.283 eV per atom

Lattice parameters (Å, degrees): 5.695 5.695 5.695 90.00 90.00 90.00
Element x y z (fractional)
Si1 0.000 0.000 0.000
Cs1 0.500 0.500 0.500
Pb1 0.500 0.000 0.000
Pb2 0.000 0.500 0.000
Pb3 0.000 0.000 0.500

---

No. 4
Below is Pm8DyGa6 after structural relaxation, with properties calculated at the GGA-PBE level.

Properties
Total DFT energy (no corrections) = -0.162 hartree per atom
Energy of formation from the pure elements = -362 meV per atom

Lattice parameters (Å, degrees): 8.806 8.806 8.088 57.02 57.02 60.00
Element x y z (fractional)
Pm1 0.666 0.666 0.002
Dy1 0.000 0.000 0.000
Ga1 0.944 0.273 0.168
Ga2 0.615 0.944 0.168
Pm2 0.780 0.113 0.661
Pm3 0.887 0.553 0.339
Pm4 0.334 0.334 0.998
Pm5 0.220 0.887 0.339
Ga3 0.056 0.727 0.832
Ga4 0.385 0.056 0.832
Ga5 0.273 0.615 0.168
Ga6 0.727 0.385 0.832
Pm6 0.553 0.220 0.339
Pm7 0.447 0.780 0.661
Pm8 0.113 0.447 0.661

---

No. 5
Below is RbCoAgCl4 after structural relaxation, with properties calculated at the GGA-PBE level.

Properties
Total DFT energy (no corrections) = -0.130 hartree per atom
Uncorrected formation energy = -0.934 eV per atom

Lattice parameters (Å, degrees): 6.294 7.351 9.000 90.00 106.63 90.00
Element x y z (fractional)
Cl1 0.965 0.509 0.286
Ag1 0.152 0.250 0.518
Co1 0.201 0.750 0.311
Cl2 0.676 0.250 0.900
Co2 0.799 0.250 0.689
Cl3 0.531 0.250 0.463
Cl4 0.035 0.491 0.714
Cl5 0.324 0.750 0.100
Cl6 0.469 0.750 0.537
Rb1 0.728 0.750 0.921
Cl7 0.965 0.991 0.286
Rb2 0.272 0.250 0.079
Ag2 0.848 0.750 0.482
Cl8 0.035 0.009 0.714

---

No. 6
Below is CaTm2In2Ag2 after structural relaxation, with properties calculated at the GGA-PBE level.

Properties
Total DFT energy (no corrections) = -0.126 hartree per atom
Energy of formation from the pure elements = -260 meV per atom

Lattice parameters (Å, degrees): 4.872 4.872 9.423 75.02 75.02 60.00
Element x y z (fractional)
Ag1 0.411 0.411 0.767
In1 0.746 0.746 0.762
Ag2 0.589 0.589 0.233
Tm1 0.872 0.872 0.385
Tm2 0.128 0.128 0.615
Ca1 0.000 0.000 0.000
In2 0.254 0.254 0.238

---

No. 7
Below is Cs2AgAuF4 after structural relaxation, with properties calculated at the GGA-PBE level.

Properties
Total DFT energy (no corrections) = -0.129 hartree per atom
Uncorrected formation energy = -1.592 eV per atom

Lattice parameters (Å, degrees): 5.354 7.414 10.848 84.89 75.71 68.83
Element x y z (fractional)
Au1 0.250 0.500 0.500
Cs1 0.824 0.000 0.352
Au2 0.500 0.000 0.000
F1 0.430 0.753 0.409
Ag1 0.000 0.000 0.000
F2 0.320 0.747 0.091
F3 0.933 0.747 0.909
Cs2 0.574 0.500 0.852
F4 0.589 0.253 0.091
F5 0.158 0.253 0.909
F6 0.817 0.753 0.591
Cs3 0.926 0.500 0.148
F7 0.592 0.247 0.591
Cs4 0.176 0.000 0.648
F8 0.161 0.247 0.409
Ag2 0.750 0.500 0.500

---

No. 8
Below is AlBr2O after structural relaxation, with properties calculated at the GGA-PBE level.

Properties
E above lowest polymorph = 0 meV per atom
Total DFT energy (no corrections) = -0.151 hartree per atom
Uncorrected formation energy = -1.104 eV per atom

Lattice parameters (Å, degrees): 10.718 10.718 7.758 46.31 46.31 90.00
Element x y z (fractional)
Br1 0.875 0.052 0.750
Br2 0.802 0.125 0.250
O1 0.500 0.500 0.000
Al1 0.750 0.250 0.500
O2 0.250 0.750 0.500
Br3 0.948 0.625 0.250
Br4 0.375 0.198 0.750
Al2 0.000 0.000 0.000

---

No. 9
Below is Hf4UC5 after structural relaxation, with properties calculated at the GGA-PBE level.

Properties
Total DFT energy (no corrections) = -0.386 hartree per atom
Energy of formation from the pure elements = -789 meV per atom

Lattice parameters (Å, degrees): 4.709 5.787 5.787 80.47 65.99 65.99
Element x y z (fractional)
Hf1 0.197 0.204 0.405
C1 0.298 0.799 0.606
Hf2 0.805 0.796 0.595
C2 0.704 0.201 0.394
C3 0.097 0.606 0.201
C4 0.501 0.000 0.000
U1 0.001 0.000 0.000
C5 0.905 0.394 0.799
Hf3 0.601 0.595 0.204
Hf4 0.401 0.405 0.796

---

No. 10
Below is ScNiHgAu2 after structural relaxation, with properties calculated at the GGA-PBE level.

Properties
Total DFT energy (no corrections) = -0.115 hartree per atom
Energy of formation from the pure elements = 673 meV per atom

Lattice parameters (Å, degrees): 5.113 4.755 5.113 90.00 90.00 90.00
Element x y z (fractional)
Hg1 0.000 0.000 0.000
Au1 0.500 0.000 0.000
Au2 0.000 0.000 0.500
Sc1 0.500 0.500 0.500
Ni1 0.000 0.500 0.000

---

No. 11
Below is Tb2NdIn2 after structural relaxation, with properties calculated at the GGA-PBE level.

Properties
E above lowest polymorph = 117 meV per atom
Total DFT energy (no corrections) = -0.153 hartree per atom
Energy of formation from the pure elements = -265 meV per atom

Lattice parameters (Å, degrees): 3.461 4.776 8.970 105.44 90.00 90.00
Element x y z (fractional)
In1 0.500 0.387 0.774
Tb1 0.000 0.187 0.375
Tb2 0.000 0.813 0.625
Nd1 0.000 0.000 0.000
In2 0.500 0.613 0.226

---

No. 12
Below is LaSmCoI after structural relaxation, with properties calculated at the GGA-PBE level.

Properties
Total DFT energy (no corrections) = -0.191 hartree per atom
Uncorrected formation energy = -0.623 eV per atom

Lattice parameters (Å, degrees): 4.070 4.065 8.480 90.01 103.80 119.98
Element x y z (fractional)
Co1 0.303 0.549 0.869
Sm1 0.513 0.154 0.684
La1 0.090 0.943 0.045
I1 0.972 0.384 0.372

---

No. 13
Below is TaAlPd after structural relaxation, with properties calculated at the GGA-PBE level.

Properties
Total DFT energy (no corrections) = -0.274 hartree per atom
Energy of formation from the pure elements = -530 meV per atom

Lattice parameters (Å, degrees): 2.906 2.906 5.960 104.11 104.11 90.00
Element x y z (fractional)
Pd1 0.320 0.320 0.641
Al1 0.676 0.676 0.352
Ta1 0.004 0.004 0.008

---

No. 14
Below is Gd2CdC after structural relaxation, with properties calculated at the GGA-PBE level.

Properties
Total DFT energy (no corrections) = -0.363 hartree per atom
Energy of formation from the pure elements = -289 meV per atom

Lattice parameters (Å, degrees): 3.627 3.627 8.500 77.68 77.68 60.00
Element x y z (fractional)
C1 0.000 0.000 0.000
Gd1 0.722 0.722 0.834
Cd1 0.500 0.500 0.500
Gd2 0.278 0.278 0.166

---

No. 15
Below is Sr3CdIr after structural relaxation, with properties calculated at the GGA-PBE level.

Properties
E above lowest polymorph = 0 meV per atom
Total DFT energy (no corrections) = -0.116 hartree per atom
Energy of formation from the pure elements = -203 meV per atom

Lattice parameters (Å, degrees): 6.337 6.337 9.383 101.98 101.97 112.67
Element x y z (fractional)
Sr1 0.701 0.201 0.902
Sr2 0.921 0.802 0.723
Sr3 0.079 0.198 0.277
Cd1 0.301 0.801 0.500
Cd2 0.699 0.199 0.500
Ir1 0.250 0.250 0.000
Sr4 0.698 0.579 0.277
Ir2 0.750 0.750 0.000
Sr5 0.299 0.799 0.098
Sr6 0.302 0.421 0.723

---

No. 16
Below is Fe3AsRu after structural relaxation, with properties calculated at the GGA-PBE level.

Properties
E above lowest polymorph = 370 meV per atom
Total DFT energy (no corrections) = -0.239 hartree per atom
Energy of formation from the pure elements = 1367 meV per atom

Lattice parameters (Å, degrees): 4.566 4.566 4.566 90.00 90.00 90.00
Element x y z (fractional)
Fe1 0.000 0.500 0.000
Ru1 0.000 0.000 0.000
As1 0.500 0.500 0.500
Fe2 0.500 0.000 0.000
Fe3 0.000 0.000 0.500

---

No. 17
Below is Tb4GaPd3 after structural relaxation, with properties calculated at the GGA-PBE level.

Properties
Total DFT energy (no corrections) = -0.201 hartree per atom
Energy of formation from the pure elements = -827 meV per atom

Lattice parameters (Å, degrees): 3.779 4.512 10.817 90.00 90.00 90.00
Element x y z (fractional)
Tb1 0.500 0.000 0.637
Tb2 0.000 0.500 0.854
Pd1 0.000 0.500 0.586
Pd2 0.500 0.000 0.921
Ga1 0.500 0.500 0.078
Pd3 0.000 0.000 0.417
Tb3 0.000 0.000 0.142
Tb4 0.500 0.500 0.366

---

No. 18
Below is KCdAsO4 after structural relaxation, with properties calculated at the GGA-PBE level.

Properties
Total DFT energy (no corrections) = -0.191 hartree per atom
Uncorrected formation energy = -1.411 eV per atom

Lattice parameters (Å, degrees): 6.265 6.265 6.697 90.00 90.00 112.75
Element x y z (fractional)
O1 0.770 0.839 0.750
O2 0.238 0.762 0.044
K1 0.500 0.500 0.500
As1 0.862 0.138 0.750
Cd1 0.852 0.148 0.250
K2 0.500 0.500 0.000
O3 0.762 0.238 0.956
O4 0.238 0.762 0.456
As2 0.138 0.862 0.250
O5 0.762 0.238 0.544
Cd2 0.148 0.852 0.750
O6 0.230 0.161 0.250
O7 0.161 0.230 0.750
O8 0.839 0.770 0.250

---

No. 19
Below is Li3PaCr2Se6 after structural relaxation, with properties calculated at the GGA-PBE level.

Properties
Total DFT energy (no corrections) = -0.207 hartree per atom
Uncorrected formation energy = -1.016 eV per atom

Lattice parameters (Å, degrees): 6.637 6.637 6.827 99.29 99.29 119.99
Element x y z (fractional)
Se1 0.920 0.568 0.760
Cr1 0.667 0.333 0.000
Se2 0.432 0.080 0.240
Cr2 0.333 0.667 0.000
Se3 0.080 0.432 0.240
Se4 0.271 0.271 0.759
Li1 0.836 0.164 0.500
Li2 0.164 0.836 0.500
Li3 0.500 0.500 0.500
Se5 0.729 0.729 0.241
Pa1 0.000 0.000 0.000
Se6 0.568 0.920 0.760

---

No. 20
Below is YZrZn2 after structural relaxation, with properties calculated at the GGA-PBE level.

Properties
Total DFT energy (no corrections) = -0.161 hartree per atom
Energy of formation from the pure elements = 19 meV per atom

Lattice parameters (Å, degrees): 9.038 9.038 9.038 21.86 21.86 21.86
Element x y z (fractional)
Zn1 0.988 0.988 0.988
Zn2 0.258 0.258 0.258
Zr1 0.510 0.510 0.510
Y1 0.744 0.744 0.744